Record 1
CaTa2NbOs PBE relaxed; symmetry = No. 123; calculated formation energy = 13.51 eV per formula unit; crystal system = tetragonal
1.0
-1.233 1.940 4.040
1.051 -3.786 2.139
4.347 1.538 0.588
Ta Ca Os Nb
2 1 1 1
direct
0.000 0.000 0.500 Ta
0.500 0.000 0.000 Ta
0.000 0.000 0.000 Ca
0.500 0.500 0.500 Os
0.000 0.500 0.000 Nb

Record 2
Tb2SmDy3Er6 PBE relaxed; symmetry = No. 12; calculated formation energy = 0.22 eV per formula unit; crystal system = monoclinic
1.0
-0.338 1.362 -5.956
-2.342 -5.261 2.068
-9.232 6.491 3.052
Tb Er Dy Sm
2 6 3 1
direct
0.333 0.667 0.000 Tb
0.667 0.333 0.000 Tb
0.582 0.916 0.749 Er
0.249 0.249 0.749 Er
0.418 0.084 0.251 Er
0.084 0.418 0.251 Er
0.751 0.751 0.251 Er
0.916 0.582 0.749 Er
0.833 0.167 0.500 Dy
0.500 0.500 0.500 Dy
0.167 0.833 0.500 Dy
0.000 0.000 0.000 Sm

Record 3
Sr3AlTe4 PBE relaxed; symmetry = No. 31; crystal system = orthorhombic; formation energy from raw total energies = -1.17 eV per atom
1.0
-5.096 -3.792 -2.032
5.892 -4.895 -5.643
1.953 -6.947 8.064
Sr Te Al
6 8 2
direct
0.071 0.665 0.759 Sr
0.071 0.665 0.241 Sr
0.571 0.335 0.741 Sr
0.570 0.841 0.000 Sr
0.571 0.335 0.259 Sr
0.070 0.159 0.500 Sr
0.072 0.318 0.773 Te
0.572 0.682 0.273 Te
0.090 0.824 0.500 Te
0.072 0.318 0.227 Te
0.071 0.877 0.000 Te
0.571 0.123 0.500 Te
0.590 0.176 0.000 Te
0.572 0.682 0.727 Te
0.498 0.827 0.500 Al
0.998 0.173 0.000 Al

Record 4
CdReI2O PBE relaxed; symmetry = No. 123; crystal system = tetragonal; formation energy from raw total energies = -0.11 eV per atom; polymorph energy (0 for the lowest one) = 0.0 kJ per mole of atoms
1.0
5.683 0.000 0.000
0.000 5.683 0.000
0.000 0.000 3.793
Cd Re I O
1 1 2 1
direct
0.500 0.500 0.500 Cd
0.000 0.000 0.000 Re
0.500 0.000 0.000 I
0.000 0.500 0.000 I
0.000 0.000 0.500 O

no.,M_tot (μB per cell),calculated total energy (eV per cell)
1,0.000,-33.50
2,0.000,-54.94
3,0.006,-61.38
4,0.000,-21.98